# YIn3Tc PBEsol optimized geometry
data_YIn3Tc
_space_group_name_H-M_alt 'P m -3 m'
_space_group_IT_number 221
_space_group_name_Hall '-P 4 2 3'
_cell_length_a 5.052
_cell_length_b 5.052
_cell_length_c 5.052
_cell_angle_alpha 90.00
_cell_angle_beta 90.00
_cell_angle_gamma 90.00
loop_
_atom_site_label
_atom_site_type_symbol
_atom_site_fract_x
_atom_site_fract_y
_atom_site_fract_z
Y1 Y 0.000 0.000 0.000
In1 In 0.000 0.500 0.500
Tc1 Tc 0.500 0.500 0.500
# Energy, eV per cell: -26.07
# D(E_F), states/eV/f.u.: 3.8

# Sc2ZnSe PBEsol optimized geometry
data_Sc2ZnSe
_space_group_name_H-M_alt 'P m m m'
_space_group_IT_number 47
_cell_length_a 3.342
_cell_length_b 4.549
_cell_length_c 4.841
_cell_angle_alpha 90.00
_cell_angle_beta 90.00
_cell_angle_gamma 90.00
loop_
_space_group_symop_operation_xyz
'x,y,z'
'-x,-y,-z'
'-x,-y,z'
'x,y,-z'
'x,-y,-z'
'-x,y,z'
'-x,y,-z'
'x,-y,z'
loop_
_atom_site_label
_atom_site_type_symbol
_atom_site_fract_x
_atom_site_fract_y
_atom_site_fract_z
Sc1 Sc 0.000 0.000 0.000
Sc2 Sc 0.000 0.500 0.500
Zn1 Zn 0.500 0.000 0.500
Se1 Se 0.500 0.500 0.000
# E above lowest polymorph, kJ/mol of atoms: 21.84
# Energy, eV per cell: -21.48
# D(E_F), states/eV/f.u.: 3.8

# TaMnNbP2 PBEsol optimized geometry
data_TaMnNbP2
_space_group_name_H-M_alt 'P 4/m m m'
_space_group_IT_number 123
_space_group_name_Hall '-P 4 2'
_cell_length_a 4.252
_cell_length_b 4.252
_cell_length_c 4.528
_cell_angle_alpha 90.00
_cell_angle_beta 90.00
_cell_angle_gamma 90.00
loop_
_atom_site_label
_atom_site_type_symbol
_atom_site_fract_x
_atom_site_fract_y
_atom_site_fract_z
Ta1 Ta 0.000 0.000 0.000
Mn1 Mn 0.000 0.000 0.500
Nb1 Nb 0.500 0.500 0.000
P1 P 0.000 0.500 0.500
# Energy, eV per cell: -41.39
# D(E_F), states/eV/f.u.: 5.1

# ZnSb2HI PBEsol optimized geometry
data_ZnSb2HI
_space_group_name_H-M_alt 'P 4/m m m'
_space_group_IT_number 123
_space_group_name_Hall '-P 4 2'
_cell_length_a 4.221
_cell_length_b 4.221
_cell_length_c 6.962
_cell_angle_alpha 90.00
_cell_angle_beta 90.00
_cell_angle_gamma 90.00
loop_
_atom_site_label
_atom_site_type_symbol
_atom_site_fract_x
_atom_site_fract_y
_atom_site_fract_z
Zn1 Zn 0.000 0.000 0.000
Sb1 Sb 0.000 0.500 0.500
H1 H 0.500 0.500 0.500
I1 I 0.500 0.500 0.000
# Energy, eV per cell: -13.36
# D(E_F), states/eV/f.u.: 3.3